# 1
{"formula": "Pr4DyY7", "functional": "GGA-PBE", "state": "relaxed", "cell": [[6.026, -2.963, 0.000], [6.026, 2.963, 0.000], [-5.862, 0.000, 11.690]], "species": ["Pr", "Pr", "Pr", "Pr", "Dy", "Y", "Y", "Y", "Y", "Y", "Y", "Y"], "frac_coords": [[0.093, 0.093, 0.289], [0.368, 0.368, 0.224], [0.632, 0.632, 0.776], [0.907, 0.907, 0.711], [0.500, 0.500, 0.000], [0.000, 0.000, 0.000], [0.160, 0.160, 0.631], [0.210, 0.210, 0.916], [0.366, 0.366, 0.515], [0.634, 0.634, 0.485], [0.790, 0.790, 0.084], [0.840, 0.840, 0.369]], "crystal_system": "monoclinic", "sg": "No. 12", "volume_a3_per_cell": 417, "polymorph_energy_kj_per_mol_fu": 225}



# 2
{"formula": "YTl2Se2", "functional": "GGA-PBE", "state": "relaxed", "cell": [[3.529, -2.036, 0.000], [3.529, 2.036, 0.000], [-3.167, 0.000, 10.929]], "species": ["Y", "Tl", "Tl", "Se", "Se"], "frac_coords": [[0.000, 0.000, 0.000], [0.455, 0.455, 0.633], [0.545, 0.545, 0.367], [0.265, 0.265, 0.850], [0.735, 0.735, 0.150]], "crystal_system": "monoclinic", "sg": "No. 12", "volume_a3_per_cell": 157, "raw_formation_energy_ev_per_atom": -1.009, "polymorph_energy_kj_per_mol_fu": 0}